No. 1
## KSbTe2Rh (PBEsol)

Data for crystalline KSbTe2Rh at its relaxed geometry.

CIF file:
```
data_KSbTe2Rh
_cell_length_a 5.663
_cell_length_b 5.663
_cell_length_c 5.486
_cell_angle_alpha 90.00
_cell_angle_beta 90.00
_cell_angle_gamma 90.00
_space_group_name_H-M_alt 'P 4/m m m'
_space_group_IT_number 123
_space_group_name_Hall '-P 4 2'
loop_
_atom_site_label
_atom_site_type_symbol
_atom_site_fract_x
_atom_site_fract_y
_atom_site_fract_z
K1 K 0.000 0.000 0.000
Sb1 Sb 0.000 0.000 0.500
Te1 Te 0.000 0.500 0.000
Rh1 Rh 0.500 0.500 0.500
```

Summary:
As for the formation energy without anion corrections: 1.77 eV/atom.

No. 2
## KScRh3 (PBEsol)

Data for crystalline KScRh3 at its relaxed geometry.

CIF file:
```
data_KScRh3
_cell_length_a 4.560
_cell_length_b 4.560
_cell_length_c 4.560
_cell_angle_alpha 90.00
_cell_angle_beta 90.00
_cell_angle_gamma 90.00
_space_group_name_H-M_alt 'P m -3 m'
_space_group_IT_number 221
_space_group_name_Hall '-P 4 2 3'
loop_
_atom_site_label
_atom_site_type_symbol
_atom_site_fract_x
_atom_site_fract_y
_atom_site_fract_z
K1 K 0.000 0.000 0.000
Sc1 Sc 0.500 0.500 0.500
Rh1 Rh 0.000 0.000 0.500
```

Summary:
As for the formation energy from the elements: 1.675 eV/atom.

No. 3
## KScRh2 (PBEsol)

Data for crystalline KScRh2 at its relaxed geometry.

CIF file:
```
data_KScRh2
_cell_length_a 3.030
_cell_length_b 3.703
_cell_length_c 8.352
_cell_angle_alpha 90.00
_cell_angle_beta 90.00
_cell_angle_gamma 90.00
_space_group_name_H-M_alt 'P m m 2'
_space_group_IT_number 25
loop_
_space_group_symop_operation_xyz
'x,y,z'
'-x,-y,z'
'-x,y,z'
'x,-y,z'
loop_
_atom_site_label
_atom_site_type_symbol
_atom_site_fract_x
_atom_site_fract_y
_atom_site_fract_z
K1 K 0.000 0.000 0.000
Sc1 Sc 0.500 0.500 0.576
Rh1 Rh 0.000 0.000 0.415
Rh2 Rh 0.500 0.500 0.288
```

Summary:
As for the formation energy from the elements: 0.146 eV/atom.

No. 4
## KSiRh2 (PBEsol)

Data for crystalline KSiRh2 at its relaxed geometry.

CIF file:
```
data_KSiRh2
_cell_length_a 2.866
_cell_length_b 4.296
_cell_length_c 6.582
_cell_angle_alpha 90.00
_cell_angle_beta 101.58
_cell_angle_gamma 90.00
_space_group_name_H-M_alt 'P 1 m 1'
_space_group_IT_number 6
loop_
_space_group_symop_operation_xyz
'x,y,z'
'x,-y,z'
loop_
_atom_site_label
_atom_site_type_symbol
_atom_site_fract_x
_atom_site_fract_y
_atom_site_fract_z
K1 K 0.000 0.000 0.000
Si1 Si 0.349 0.500 0.673
Rh1 Rh 0.263 0.000 0.482
Rh2 Rh 0.720 0.500 0.393
```

Summary:
As for the formation energy without anion corrections: 0.08 eV/atom.

No. 5
## K2Sn2Rh (PBEsol)

Data for crystalline K2Sn2Rh at its relaxed geometry.

CIF file:
```
data_K2Sn2Rh
_cell_length_a 3.818
_cell_length_b 3.818
_cell_length_c 16.245
_cell_angle_alpha 90.00
_cell_angle_beta 90.00
_cell_angle_gamma 90.00
_space_group_name_H-M_alt 'I 4/m m m'
_space_group_IT_number 139
_space_group_name_Hall '-I 4 2'
loop_
_atom_site_label
_atom_site_type_symbol
_atom_site_fract_x
_atom_site_fract_y
_atom_site_fract_z
K1 K 0.000 0.500 0.250
Sn1 Sn 0.000 0.000 0.083
Rh1 Rh 0.000 0.000 0.500
```

Summary:
As for the formation energy from the elements: 0.473 eV/atom.

No. 6
## KSrRh2 (PBEsol)

Data for crystalline KSrRh2 at its relaxed geometry.

CIF file:
```
data_KSrRh2
_cell_length_a 10.581
_cell_length_b 4.338
_cell_length_c 7.162
_cell_angle_alpha 90.00
_cell_angle_beta 125.70
_cell_angle_gamma 90.00
_space_group_name_H-M_alt 'C 1 2/m 1'
_space_group_IT_number 12
loop_
_space_group_symop_operation_xyz
'x,y,z'
'-x,-y,-z'
'-x,y,-z'
'x,-y,z'
'x+1/2,y+1/2,z'
'-x+1/2,-y+1/2,-z'
'-x+1/2,y+1/2,-z'
'x+1/2,-y+1/2,z'
loop_
_atom_site_label
_atom_site_type_symbol
_atom_site_fract_x
_atom_site_fract_y
_atom_site_fract_z
K1 K 0.000 0.000 0.000
Sr1 Sr 0.000 0.500 0.500
Rh1 Rh 0.249 0.500 0.436
```

Summary:
As for the formation energy from the elements: 0.398 eV/atom.

> Which formula does entry 2 have?

KScRh3